No. 1
TcN | PBE-GGA | optimized geometry

Summary:
V in Å³/f.u.: 20.0
ρ in Mg/m³: 9.3
Raw total energy in eV per atom: -8.793
Total magnetization in μB per formula unit: 0.02
Distance to the lowest polymorph of the same formula in meV per atom: 544

a = 3.048 Å, b = 3.048 Å, c = 3.048 Å
α = 60.00°, β = 60.00°, γ = 60.00°
Fractional positions:
1 Tc 0.000 0.000 0.000
2 N 0.500 0.500 0.500

No. 2
PrIBr2 | PBE-GGA | optimized geometry

Summary:
V in Å³/f.u.: 132.7
ρ in Mg/m³: 5.4
Raw total energy in eV per atom: -4.135
Total magnetization in μB per formula unit: 0.00

a = 7.949 Å, b = 4.504 Å, c = 8.323 Å
α = 90.00°, β = 117.04°, γ = 90.00°
Fractional positions:
1 Pr 0.172 0.250 0.339
2 Pr 0.828 0.750 0.661
3 I 0.223 0.750 0.078
4 I 0.777 0.250 0.922
5 Br 0.104 0.250 0.687
6 Br 0.402 0.750 0.597
7 Br 0.598 0.250 0.403
8 Br 0.896 0.750 0.313

No. 3
KPdO3 | PBE-GGA | optimized geometry

Summary:
V in Å³/f.u.: 66.3
ρ in Mg/m³: 4.8
Raw total energy in eV per atom: -4.637

a = 3.878 Å, b = 3.878 Å, c = 4.407 Å
α = 90.00°, β = 90.00°, γ = 90.00°
Fractional positions:
1 K 0.000 0.000 0.000
2 Pd 0.500 0.500 0.465
3 O 0.000 0.500 0.554
4 O 0.500 0.000 0.554
5 O 0.500 0.500 0.035

No. 4
Gd2YSn3Pt3 | PBE-GGA | optimized geometry

Summary:
V in Å³/f.u.: 198.8
ρ in Mg/m³: 11.2
Raw total energy in eV per atom: -6.200
Total magnetization in μB per formula unit: 0.00

a = 4.034 Å, b = 7.543 Å, c = 7.543 Å
α = 119.98°, β = 90.00°, γ = 90.00°
Fractional positions:
1 Gd 0.000 0.204 0.796
2 Gd 0.000 0.796 0.204
3 Y 0.000 0.611 0.611
4 Sn 0.500 0.205 0.461
5 Sn 0.500 0.461 0.205
6 Sn 0.500 0.946 0.946
7 Pt 0.000 0.204 0.204
8 Pt 0.500 0.538 0.870
9 Pt 0.500 0.870 0.538

No. 5
SiGeMo | PBE-GGA | optimized geometry

Summary:
V in Å³/f.u.: 53.5
ρ in Mg/m³: 6.1
Raw total energy in eV per atom: -6.544
Total magnetization in μB per formula unit: 0.00
Distance to the lowest polymorph of the same formula in meV per atom: 756

a = 4.229 Å, b = 4.229 Å, c = 4.229 Å
α = 60.00°, β = 60.00°, γ = 60.00°
Fractional positions:
1 Si 0.000 0.000 0.000
2 Ge 0.500 0.500 0.500
3 Mo 0.750 0.750 0.750

No. 6
LaNpBe | PBE-GGA | optimized geometry

Summary:
V in Å³/f.u.: 72.7
ρ in Mg/m³: 8.8
Raw total energy in eV per atom: -6.158
Total magnetization in μB per formula unit: 4.15
Distance to the lowest polymorph of the same formula in meV per atom: 0

a = 4.685 Å, b = 4.685 Å, c = 4.685 Å
α = 60.00°, β = 60.00°, γ = 60.00°
Fractional positions:
1 La 0.000 0.000 0.000
2 Np 0.750 0.750 0.750
3 Be 0.500 0.500 0.500

No. 7
DyZrS2I2 | PBE-GGA | optimized geometry

Summary:
V in Å³/f.u.: 196.7
ρ in Mg/m³: 4.8
Raw total energy in eV per atom: -5.579
Total magnetization in μB per formula unit: 0.30

a = 4.018 Å, b = 5.268 Å, c = 9.292 Å
α = 90.00°, β = 90.00°, γ = 90.00°
Fractional positions:
1 Dy 0.000 0.000 0.000
2 Zr 0.500 0.500 0.202
3 S 0.000 0.500 0.024
4 S 0.500 0.000 0.201
5 I 0.000 0.500 0.436
6 I 0.500 0.000 0.755

No. 8
PmNdSb | PBE-GGA | optimized geometry

Summary:
V in Å³/f.u.: 100.7
ρ in Mg/m³: 6.8
Raw total energy in eV per atom: -5.196
Total magnetization in μB per formula unit: 0.02
Distance to the lowest polymorph of the same formula in meV per atom: 0

a = 5.222 Å, b = 5.222 Å, c = 5.222 Å
α = 60.00°, β = 60.00°, γ = 60.00°
Fractional positions:
1 Pm 0.000 0.000 0.000
2 Nd 0.500 0.500 0.500
3 Sb 0.750 0.750 0.750